# Li4FeCo3O8

Li4FeCo3O8 at its PBEsol-relaxed geometry (SCAN, Alexandria via LeMat-Bulk).

The structure in extended XYZ format:
```
16
Lattice="5.041 0.000 0.000 0.004 5.350 0.000 0.004 0.023 6.245" Properties=species:S:1:pos:R:3 pbc="T T T"
Li 0.000 0.000 0.000
Li 0.007 2.671 1.556
Li 2.522 4.444 4.692
Li 2.526 1.774 3.131
Fe 0.038 5.327 3.140
Co 0.041 2.665 4.670
Co 2.556 4.455 1.521
Co 2.558 1.778 0.033
O 1.853 5.264 3.026
O 1.860 2.598 4.780
O 1.992 0.054 0.071
O 2.003 2.727 1.485
O 4.380 1.869 6.162
O 4.385 4.524 1.655
O 4.522 4.404 4.608
O 4.524 1.707 3.206
```

Output
density = 3.83 g/cm³
uncorrected formation energy = -1.683 eV/atom
crystal system = triclinic
D(E_F) = 0.47 states/eV/cell
electronic total energy = -9.774 eV per atom

=====

# Li4FeCo9O20

Li4FeCo9O20 at its PBEsol-relaxed geometry (SCAN, Alexandria via LeMat-Bulk).

The structure in extended XYZ format:
```
34
Lattice="4.804 0.000 0.000 2.396 6.950 0.000 0.628 1.214 9.653" Properties=species:S:1:pos:R:3 pbc="T T T"
Li 0.000 0.000 0.000
Li 2.267 3.744 0.046
Li 3.870 4.074 4.866
Li 3.822 0.926 4.896
Fe 5.448 6.664 2.430
Co 0.691 1.154 2.471
Co 2.194 3.826 7.251
Co 3.079 5.324 2.459
Co 2.208 1.069 7.272
Co 3.088 2.520 2.440
Co 4.616 5.259 7.297
Co 4.604 2.470 7.286
Co 5.484 3.931 2.451
Co 7.010 6.615 7.265
O 0.586 1.079 6.330
O 1.395 2.441 8.231
O 1.485 2.550 1.509
O 2.305 3.917 3.388
O 3.026 5.210 6.327
O 3.785 6.652 8.262
O 3.852 6.724 1.468
O 2.325 1.107 3.413
O 3.029 2.439 6.278
O 3.782 3.875 8.224
O 3.862 3.932 1.513
O 4.664 5.299 3.442
O 5.416 6.646 6.319
O 3.827 1.057 8.217
O 3.904 1.093 1.493
O 4.675 2.547 3.425
O 5.369 3.871 6.325
O 6.244 5.213 8.225
O 6.305 5.305 1.441
O 7.035 6.729 3.409
```

Output
density = 4.81 g/cm³
uncorrected formation energy = -1.519 eV/atom
crystal system = triclinic
D(E_F) = 13.58 states/eV/cell
electronic total energy = -10.579 eV per atom

=====

Number 1: calculated volume 168.4 Å³/f.u.. Number 2: calculated volume 322.3 Å³/f.u..